No. 1
Crystalline Tl3RhBr at its relaxed geometry. Source: Alexandria via LeMat-Bulk, functional PBE-GGA.

a = 5.331 Å, b = 5.331 Å, c = 5.331 Å
α = 90.00°, β = 90.00°, γ = 90.00°
Sites, in units of the cell vectors:
1 Tl 0.000 0.000 0.500
2 Tl 0.000 0.500 0.000
3 Rh 0.000 0.000 0.000
4 Tl 0.500 0.000 0.000
5 Br 0.500 0.500 0.500

Calculated values
Excess energy over the best structure of this formula in the dataset, meV per atom: 0
Raw formation energy, eV/f.u.: -1.686
Calculated volume, Å³ per cell: 152

No. 2
Crystalline Na2Tl3AgI6 at its relaxed geometry. Source: Alexandria via LeMat-Bulk, functional PBE-GGA.

a = 8.134 Å, b = 8.134 Å, c = 8.428 Å
α = 99.38°, β = 99.38°, γ = 119.78°
Sites, in units of the cell vectors:
1 Na 0.335 0.665 0.000
2 I 0.929 0.608 0.785
3 Na 0.665 0.335 0.000
4 I 0.071 0.392 0.215
5 I 0.248 0.248 0.775
6 I 0.752 0.752 0.225
7 Ag 0.000 0.000 0.000
8 I 0.392 0.071 0.215
9 I 0.608 0.929 0.785
10 Tl 0.500 0.500 0.500
11 Tl 0.829 0.171 0.500
12 Tl 0.171 0.829 0.500

Calculated values
Raw formation energy, eV/f.u.: -9.173
Calculated volume, Å³ per cell: 458

No. 3
Crystalline VRe2Os6 at its relaxed geometry. Source: Alexandria via LeMat-Bulk, functional PBE-GGA.

a = 8.511 Å, b = 7.089 Å, c = 7.089 Å
α = 71.26°, β = 53.11°, γ = 53.11°
Sites, in units of the cell vectors:
1 Re 0.921 0.275 0.225
2 Re 0.579 0.775 0.725
3 Os 0.307 0.932 0.568
4 Os 0.040 0.659 0.463
5 Re 0.079 0.725 0.775
6 Os 0.839 0.159 0.963
7 Os 0.460 0.537 0.341
8 Os 0.540 0.463 0.659
9 V 0.250 0.250 0.750
10 Os 0.339 0.963 0.159
11 Os 0.661 0.037 0.841
12 V 0.750 0.750 0.250
13 Os 0.693 0.068 0.432
14 Os 0.960 0.341 0.537
15 Re 0.421 0.225 0.275
16 Os 0.161 0.841 0.037
17 Os 0.193 0.432 0.068
18 Os 0.807 0.568 0.932

Calculated values
E_form, meV/atom: 204
Calculated volume, Å³ per cell: 273

What is the formula in the first record? Tl3RhBr